LiMgCdSi | PBE-GGA | relaxed

The total energy is -0.0921 Ha/atom. The value obtained for the density is 3.93 Mg/m³. The uncorrected formation energy is -45 meV per atom. As for the total magnetization: 0.00 μB/f.u.

It has space group F-43m (No. 216), with a = 6.623 Å, b = 6.623 Å, c = 6.623 Å, α = 90.00°, β = 90.00° and γ = 90.00°. The asymmetric unit holds Li at (0.000, 0.000, 0.000), Mg at (0.000, 0.000, 0.500), Cd at (0.250, 0.250, 0.750) and Si at (0.250, 0.250, 0.250).

LiSmMgCd | PBE-GGA | relaxed

The total energy is -0.0920 Ha/atom. The value obtained for the density is 5.24 Mg/m³. The energy of formation from the pure elements is -218 meV/atom. As for the total magnetization: 0.00 μB/f.u.

It has space group F-43m (No. 216), with a = 7.198 Å, b = 7.198 Å, c = 7.198 Å, α = 90.00°, β = 90.00° and γ = 90.00°. The asymmetric unit holds Li at (0.000, 0.000, 0.000), Sm at (0.250, 0.250, 0.250), Mg at (0.250, 0.250, 0.750) and Cd at (0.000, 0.000, 0.500).

LiMgCdSn | PBE-GGA | relaxed

The total energy is -0.0851 Ha/atom. The value obtained for the density is 5.14 Mg/m³. The energy of formation from the pure elements is -208 meV/atom. The calculation puts the energy above the lowest structure with this stoichiometry at 15 meV/atom. As for the total magnetization: 0.00 μB/f.u.

It has space group F-43m (No. 216), with a = 6.971 Å, b = 6.971 Å, c = 6.971 Å, α = 90.00°, β = 90.00° and γ = 90.00°. The asymmetric unit holds Li at (0.000, 0.000, 0.000), Mg at (0.000, 0.000, 0.500), Cd at (0.250, 0.250, 0.750) and Sn at (0.250, 0.250, 0.250).

LiMgCd2Sn | PBE-GGA | relaxed

The total energy is -0.0716 Ha/atom. The value obtained for the density is 5.35 Mg/m³. The energy of formation from the pure elements is -81 meV/atom. As for the total magnetization: 0.00 μB/f.u.

It has space group Cmcm (No. 63), with a = 4.872 Å, b = 11.177 Å, c = 8.538 Å, α = 90.00°, β = 90.00° and γ = 90.00°. The asymmetric unit holds Li at (0.000, 0.034, 0.250), Mg at (0.000, 0.320, 0.250), Cd at (0.000, 0.185, 0.560) and Sn at (0.000, 0.500, 0.000).